Entry 1:
Computed, not measured: an optimized crystal structure of LiMo2Pt9 at the PBE level of DFT.

Its formation energy is -5.64 kcal/mol of atoms. As for the total magnetization: 0.000 μB/f.u. The total energy is -0.248 Ha/atom.

```
data_LiMo2Pt9
_chemical_formula_sum 'Li1 Mo2 Pt9'
_space_group_name_H-M_alt 'P -1'
_space_group_IT_number 2
_cell_length_a 4.843
_cell_length_b 6.236
_cell_length_c 6.245
_cell_angle_alpha 83.99
_cell_angle_beta 82.47
_cell_angle_gamma 82.06
loop_
_space_group_symop_operation_xyz
'x,y,z'
'-x,-y,-z'
loop_
_atom_site_label
_atom_site_type_symbol
_atom_site_fract_x
_atom_site_fract_y
_atom_site_fract_z
_atom_site_occupancy
Li1 Li 0.000 0.000 0.000 1
Mo1 Mo 0.266 0.577 0.910 1
Pt1 Pt 0.006 0.328 0.686 1
Pt2 Pt 0.246 0.915 0.593 1
Pt3 Pt 0.247 0.257 0.241 1
Pt4 Pt 0.493 0.828 0.162 1
Pt5 Pt 0.500 0.500 0.500 1
```

Entry 2:
Computed, not measured: an optimized crystal structure of Pm2P4Pd5 at the PBE level of DFT.

Its formation energy is -16.59 kcal/mol of atoms. As for the total magnetization: 0.000 μB/f.u. The total energy is -0.217 Ha/atom.

```
data_Pm2P4Pd5
_chemical_formula_sum 'Pm8 P16 Pd20'
_space_group_name_H-M_alt 'F m m m'
_space_group_IT_number 69
_space_group_name_Hall '-F 2 2'
_cell_length_a 5.687
_cell_length_b 10.062
_cell_length_c 13.892
_cell_angle_alpha 90.00
_cell_angle_beta 90.00
_cell_angle_gamma 90.00
loop_
_atom_site_label
_atom_site_type_symbol
_atom_site_fract_x
_atom_site_fract_y
_atom_site_fract_z
_atom_site_occupancy
Pm1 Pm 0.000 0.000 0.146 1
P1 P 0.000 0.149 0.369 1
Pd1 Pd 0.000 0.000 0.500 1
Pd2 Pd 0.250 0.250 0.000 1
Pd3 Pd 0.250 0.250 0.250 1
```

Entry 3:
Computed, not measured: an optimized crystal structure of Ca2TaPb at the PBE level of DFT.

Its formation energy is 9.82 kcal/mol of atoms. As for the total magnetization: 1.268 μB/f.u. The total energy is -0.164 Ha/atom.

```
data_Ca2TaPb
_chemical_formula_sum 'Ca4 Ta2 Pb2'
_space_group_name_H-M_alt 'I -4 m 2'
_space_group_IT_number 119
_space_group_name_Hall 'I -4 -2'
_cell_length_a 4.657
_cell_length_b 4.657
_cell_length_c 9.754
_cell_angle_alpha 90.00
_cell_angle_beta 90.00
_cell_angle_gamma 90.00
loop_
_atom_site_label
_atom_site_type_symbol
_atom_site_fract_x
_atom_site_fract_y
_atom_site_fract_z
_atom_site_occupancy
Ca1 Ca 0.000 0.000 0.000 1
Ca2 Ca 0.000 0.500 0.250 1
Ta1 Ta 0.000 0.000 0.500 1
Pb1 Pb 0.000 0.500 0.750 1
```

Entry 4:
Computed, not measured: an optimized crystal structure of SnPSe2Br at the PBE level of DFT.

The energy relative to the elements, uncorrected is 0.10 eV per atom. As for the total magnetization: 0.000 μB/f.u. The total energy is -0.129 Ha/atom.

```
data_SnPSe2Br
_chemical_formula_sum 'Sn1 P1 Se2 Br1'
_space_group_name_H-M_alt 'P 4/m m m'
_space_group_IT_number 123
_space_group_name_Hall '-P 4 2'
_cell_length_a 4.988
_cell_length_b 4.988
_cell_length_c 4.987
_cell_angle_alpha 90.00
_cell_angle_beta 90.00
_cell_angle_gamma 90.00
loop_
_atom_site_label
_atom_site_type_symbol
_atom_site_fract_x
_atom_site_fract_y
_atom_site_fract_z
_atom_site_occupancy
Sn1 Sn 0.000 0.000 0.000 1
P1 P 0.500 0.500 0.500 1
Se1 Se 0.000 0.500 0.500 1
Br1 Br 0.500 0.500 0.000 1
```

Entry 5:
Computed, not measured: an optimized crystal structure of CaAl2Ni at the PBE level of DFT.

Its formation energy is -1.22 kcal/mol of atoms. As for the total magnetization: 0.000 μB/f.u. The total energy is -0.142 Ha/atom.

```
data_CaAl2Ni
_chemical_formula_sum 'Ca1 Al2 Ni1'
_space_group_name_H-M_alt 'P m m m'
_space_group_IT_number 47
_cell_length_a 3.971
_cell_length_b 4.050
_cell_length_c 4.503
_cell_angle_alpha 90.00
_cell_angle_beta 90.00
_cell_angle_gamma 90.00
loop_
_space_group_symop_operation_xyz
'x,y,z'
'-x,-y,-z'
'-x,-y,z'
'x,y,-z'
'x,-y,-z'
'-x,y,z'
'-x,y,-z'
'x,-y,z'
loop_
_atom_site_label
_atom_site_type_symbol
_atom_site_fract_x
_atom_site_fract_y
_atom_site_fract_z
_atom_site_occupancy
Ca1 Ca 0.000 0.000 0.000 1
Al1 Al 0.000 0.500 0.500 1
Al2 Al 0.500 0.000 0.500 1
Ni1 Ni 0.500 0.500 0.000 1
```

Entry 6:
Computed, not measured: an optimized crystal structure of Pr3Ag2Ge4 at the PBE level of DFT.

Its formation energy is -14.62 kcal/mol of atoms. As for the total magnetization: 0.000 μB/f.u. The total energy is -0.181 Ha/atom.

```
data_Pr3Ag2Ge4
_chemical_formula_sum 'Pr6 Ag4 Ge8'
_space_group_name_H-M_alt 'C 1 2/m 1'
_space_group_IT_number 12
_cell_length_a 11.218
_cell_length_b 4.487
_cell_length_c 8.629
_cell_angle_alpha 90.00
_cell_angle_beta 103.73
_cell_angle_gamma 90.00
loop_
_space_group_symop_operation_xyz
'x,y,z'
'-x,-y,-z'
'-x,y,-z'
'x,-y,z'
'x+1/2,y+1/2,z'
'-x+1/2,-y+1/2,-z'
'-x+1/2,y+1/2,-z'
'x+1/2,-y+1/2,z'
loop_
_atom_site_label
_atom_site_type_symbol
_atom_site_fract_x
_atom_site_fract_y
_atom_site_fract_z
_atom_site_occupancy
Pr1 Pr 0.000 0.000 0.000 1
Pr2 Pr 0.162 0.500 0.672 1
Ag1 Ag 0.115 0.500 0.282 1
Ge1 Ge 0.062 0.000 0.396 1
Ge2 Ge 0.215 0.500 0.045 1
```

Entry 7:
Computed, not measured: an optimized crystal structure of KAlRu2 at the PBE level of DFT.

Its formation energy is 24.19 kcal/mol of atoms. As for the total magnetization: 0.568 μB/f.u. The total energy is -0.176 Ha/atom.

```
data_KAlRu2
_chemical_formula_sum 'K1 Al1 Ru2'
_space_group_name_H-M_alt 'P 4/m m m'
_space_group_IT_number 123
_space_group_name_Hall '-P 4 2'
_cell_length_a 5.061
_cell_length_b 5.061
_cell_length_c 2.707
_cell_angle_alpha 90.00
_cell_angle_beta 90.00
_cell_angle_gamma 90.00
loop_
_atom_site_label
_atom_site_type_symbol
_atom_site_fract_x
_atom_site_fract_y
_atom_site_fract_z
_atom_site_occupancy
K1 K 0.000 0.000 0.000 1
Al1 Al 0.500 0.500 0.000 1
Ru1 Ru 0.000 0.500 0.500 1
```

Entry 8:
Computed, not measured: an optimized crystal structure of Ag3Pd7Pb at the PBE level of DFT.

Its formation energy is 3.08 kcal/mol of atoms. As for the total magnetization: 0.000 μB/f.u. The total energy is -0.157 Ha/atom.

```
data_Ag3Pd7Pb
_chemical_formula_sum 'Ag6 Pd14 Pb2'
_space_group_name_H-M_alt 'C 1 2/m 1'
_space_group_IT_number 12
_cell_length_a 9.408
_cell_length_b 9.320
_cell_length_c 5.182
_cell_angle_alpha 90.00
_cell_angle_beta 115.11
_cell_angle_gamma 90.00
loop_
_space_group_symop_operation_xyz
'x,y,z'
'-x,-y,-z'
'-x,y,-z'
'x,-y,z'
'x+1/2,y+1/2,z'
'-x+1/2,-y+1/2,-z'
'-x+1/2,y+1/2,-z'
'x+1/2,-y+1/2,z'
loop_
_atom_site_label
_atom_site_type_symbol
_atom_site_fract_x
_atom_site_fract_y
_atom_site_fract_z
_atom_site_occupancy
Ag1 Ag 0.000 0.000 0.000 1
Ag2 Ag 0.000 0.204 0.500 1
Pd1 Pd 0.000 0.500 0.500 1
Pd2 Pd 0.175 0.244 0.175 1
Pd3 Pd 0.219 0.000 0.535 1
Pb1 Pb 0.000 0.500 0.000 1
```

Entry 9:
Computed, not measured: an optimized crystal structure of Zr2Mn2GaRu5 at the PBE level of DFT.

Its formation energy is -3.50 kcal/mol of atoms. As for the total magnetization: 3.870 μB/f.u. The total energy is -0.317 Ha/atom.

```
data_Zr2Mn2GaRu5
_chemical_formula_sum 'Zr4 Mn4 Ga2 Ru10'
_space_group_name_H-M_alt 'P 4/m b m'
_space_group_IT_number 127
_space_group_name_Hall '-P 4 2ab'
_cell_length_a 9.175
_cell_length_b 9.175
_cell_length_c 3.689
_cell_angle_alpha 90.00
_cell_angle_beta 90.00
_cell_angle_gamma 90.00
loop_
_atom_site_label
_atom_site_type_symbol
_atom_site_fract_x
_atom_site_fract_y
_atom_site_fract_z
_atom_site_occupancy
Zr1 Zr 0.174 0.326 0.000 1
Mn1 Mn 0.125 0.625 0.000 1
Ga1 Ga 0.000 0.000 0.000 1
Ru1 Ru 0.000 0.500 0.500 1
Ru2 Ru 0.066 0.797 0.500 1
```

Entry 10:
Computed, not measured: an optimized crystal structure of PmGd2Tc at the PBE level of DFT.

Its formation energy is 13.71 kcal/mol of atoms. As for the total magnetization: 14.505 μB/f.u. The total energy is -0.376 Ha/atom.

```
data_PmGd2Tc
_chemical_formula_sum 'Pm3 Gd6 Tc3'
_space_group_name_H-M_alt 'R -3 m'
_space_group_IT_number 166
_space_group_name_Hall '-R 3 2"'
_cell_length_a 3.4138
_cell_length_b 3.4138
_cell_length_c 33.1610
_cell_angle_alpha 90.00
_cell_angle_beta 90.00
_cell_angle_gamma 120.00
loop_
_atom_site_label
_atom_site_type_symbol
_atom_site_fract_x
_atom_site_fract_y
_atom_site_fract_z
_atom_site_occupancy
Pm1 Pm 0.0000 0.0000 0.0000 1
Gd1 Gd 0.0000 0.0000 0.4252 1
Tc1 Tc 0.0000 0.0000 0.5000 1
```

Entry 11:
Computed, not measured: an optimized crystal structure of Ac3Zn4Ni4 at the PBE level of DFT.

Its formation energy is -6.55 kcal/mol of atoms. As for the total magnetization: 0.000 μB/f.u. The total energy is -0.146 Ha/atom.

```
data_Ac3Zn4Ni4
_chemical_formula_sum 'Ac6 Zn8 Ni8'
_space_group_name_H-M_alt 'C 1 2/m 1'
_space_group_IT_number 12
_cell_length_a 25.036
_cell_length_b 4.235
_cell_length_c 4.451
_cell_angle_alpha 90.00
_cell_angle_beta 97.38
_cell_angle_gamma 90.00
loop_
_space_group_symop_operation_xyz
'x,y,z'
'-x,-y,-z'
'-x,y,-z'
'x,-y,z'
'x+1/2,y+1/2,z'
'-x+1/2,-y+1/2,-z'
'-x+1/2,y+1/2,-z'
'x+1/2,-y+1/2,z'
loop_
_atom_site_label
_atom_site_type_symbol
_atom_site_fract_x
_atom_site_fract_y
_atom_site_fract_z
_atom_site_occupancy
Ac1 Ac 0.000 0.000 0.000 1
Ac2 Ac 0.152 0.500 0.114 1
Zn1 Zn 0.053 0.500 0.539 1
Zn2 Zn 0.208 0.000 0.634 1
Ni1 Ni 0.104 0.000 0.565 1
Ni2 Ni 0.248 0.000 0.158 1
```

Entry 12:
Computed, not measured: an optimized crystal structure of SrScPt2 at the PBE level of DFT.

Its formation energy is -13.99 kcal/mol of atoms. As for the total magnetization: 0.000 μB/f.u. The total energy is -0.207 Ha/atom.

```
data_SrScPt2
_chemical_formula_sum 'Sr4 Sc4 Pt8'
_space_group_name_H-M_alt 'I -4 2 d'
_space_group_IT_number 122
_space_group_name_Hall 'I -4 2bw'
_cell_length_a 7.615
_cell_length_b 7.615
_cell_length_c 6.522
_cell_angle_alpha 90.00
_cell_angle_beta 90.00
_cell_angle_gamma 90.00
loop_
_atom_site_label
_atom_site_type_symbol
_atom_site_fract_x
_atom_site_fract_y
_atom_site_fract_z
_atom_site_occupancy
Sr1 Sr 0.000 0.000 0.000 1
Sc1 Sc 0.000 0.000 0.500 1
Pt1 Pt 0.205 0.750 0.625 1
```